(1)
The following is a DFT calculation (PBE with a Hubbard U) of AcCrIn2F8 after structural relaxation.

Computed properties:
E   -5.474 eV/atom
Volume   18.9 Å³/atom

a = 4.471 Å, b = 6.946 Å, c = 7.378 Å
α = 93.88°, β = 93.37°, γ = 95.33°
Sites, in units of the cell vectors:
1 Ac 0.000 0.000 0.000
2 Cr 0.000 0.000 0.500
3 In 0.472 0.582 0.278
4 In 0.528 0.418 0.722
5 F 0.081 0.816 0.290
6 F 0.110 0.845 0.703
7 F 0.373 0.164 0.511
8 F 0.492 0.191 0.967
9 F 0.508 0.809 0.033
10 F 0.627 0.836 0.489
11 F 0.890 0.155 0.297
12 F 0.919 0.184 0.710

(2)
The following is a DFT calculation (PBE with a Hubbard U) of Li2AcCrF8 after structural relaxation.

Computed properties:
E   -5.773 eV/atom
Volume   13.3 Å³/atom

a = 4.370 Å, b = 4.990 Å, c = 7.404 Å
α = 97.29°, β = 91.56°, γ = 92.25°
Sites, in units of the cell vectors:
1 Li 0.031 0.464 0.317
2 Li 0.969 0.536 0.683
3 Ac 0.500 0.000 0.000
4 Cr 0.500 0.000 0.500
5 F 0.058 0.265 0.069
6 F 0.176 0.257 0.514
7 F 0.330 0.771 0.277
8 F 0.345 0.785 0.684
9 F 0.655 0.215 0.316
10 F 0.670 0.229 0.723
11 F 0.824 0.743 0.486
12 F 0.942 0.735 0.931

(3)
The following is a DFT calculation (PBE with a Hubbard U) of AcMnCr2F8 after structural relaxation.

Computed properties:
E   -6.114 eV/atom
Volume   20.0 Å³/atom

a = 6.330 Å, b = 6.330 Å, c = 6.931 Å
α = 90.00°, β = 90.00°, γ = 120.00°
Sites, in units of the cell vectors:
1 Ac 0.000 0.000 0.000
2 Mn 0.000 0.000 0.500
3 Cr 0.333 0.667 0.261
4 Cr 0.667 0.333 0.739
5 F 0.140 0.280 0.284
6 F 0.140 0.860 0.284
7 F 0.280 0.140 0.716
8 F 0.333 0.667 0.973
9 F 0.667 0.333 0.027
10 F 0.720 0.860 0.284
11 F 0.860 0.140 0.716
12 F 0.860 0.720 0.716

(4)
The following is a DFT calculation (PBE with a Hubbard U) of Na2AcCrF8 after structural relaxation.

Computed properties:
E   -5.633 eV/atom
Volume   14.8 Å³/atom

a = 4.461 Å, b = 7.315 Å, c = 5.460 Å
α = 90.00°, β = 91.32°, γ = 90.00°
Sites, in units of the cell vectors:
1 Na 0.000 0.221 0.000
2 Na 0.000 0.779 0.000
3 Ac 0.500 0.500 0.500
4 Cr 0.500 0.000 0.500
5 F 0.043 0.500 0.249
6 F 0.159 0.000 0.278
7 F 0.372 0.207 0.710
8 F 0.372 0.793 0.710
9 F 0.628 0.207 0.290
10 F 0.628 0.793 0.290
11 F 0.841 0.000 0.722
12 F 0.957 0.500 0.751

no.,magnetization (μB/atom)
1,0.25
2,0.25
3,1.17
4,0.25